# 1
A plane-wave DFT calculation with PBE was carried out for a relaxed structure of MgScCd2.

Structure (POSCAR):
```
MgScCd2
1.0
5.794 0.102 0.101
4.880 3.125 0.101
1.535 0.464 5.130
Cd Mg Sc
2 1 1
direct
0.740 0.740 0.701
0.010 0.010 0.046
0.491 0.491 0.554
0.260 0.260 0.199
```

Output
D(E_F) (states/eV per cell): 2.48
Energy relative to the elements (eV per atom): -0.13

=====

# 2
A plane-wave DFT calculation with PBE was carried out for a relaxed structure of Li2LaMg10.

Structure (POSCAR):
```
Li2LaMg10
1.0
-4.107 1.243 3.678
-4.974 -6.062 0.838
2.066 -2.000 7.324
Mg Li La
10 2 1
direct
0.006 0.641 0.346
0.715 0.779 0.792
0.352 0.641 0.654
0.648 0.359 0.346
0.493 0.221 0.792
0.500 0.000 0.500
0.000 0.000 0.500
0.994 0.359 0.654
0.507 0.779 0.208
0.285 0.221 0.208
0.000 0.500 0.000
0.500 0.500 0.000
0.000 0.000 0.000
```

Output
D(E_F) (states/eV per cell): 6.59
Energy relative to the elements (eV per atom): -0.06